## FeHg2Rh (PBE)

Data for a relaxed FeHg2Rh crystal.

a = 6.492 Å, b = 6.492 Å, c = 6.492 Å
α = 90.00°, β = 90.00°, γ = 90.00°
Fractional positions:
Fe 0.000 0.000 0.000
Fe 0.000 0.500 0.500
Fe 0.500 0.000 0.500
Fe 0.500 0.500 0.000
Hg 0.250 0.250 0.250
Hg 0.250 0.250 0.750
Hg 0.250 0.750 0.250
Hg 0.250 0.750 0.750
Hg 0.750 0.250 0.250
Hg 0.750 0.250 0.750
Hg 0.750 0.750 0.250
Hg 0.750 0.750 0.750
Rh 0.000 0.000 0.500
Rh 0.000 0.500 0.000
Rh 0.500 0.000 0.000
Rh 0.500 0.500 0.500

Summary:
Formation energy   0.334 eV per atom
Total magnetization   12.3 Bohr magnetons per cell
ΔE to the lowest computed polymorph   158 meV/atom


## CoHgP2 (PBE)

Data for a relaxed CoHgP2 crystal.

a = 3.185 Å, b = 3.185 Å, c = 21.517 Å
α = 90.00°, β = 90.00°, γ = 120.00°
Fractional positions:
Co 0.000 0.000 0.000
Co 0.333 0.667 0.667
Co 0.667 0.333 0.333
Hg 0.000 0.000 0.763
Hg 0.333 0.667 0.430
Hg 0.667 0.333 0.096
P 0.000 0.000 0.270
P 0.000 0.000 0.537
P 0.333 0.667 0.204
P 0.333 0.667 0.936
P 0.667 0.333 0.603
P 0.667 0.333 0.871

Summary:
Formation energy   0.247 eV per atom
Total magnetization   2.0 Bohr magnetons per cell


## Ce2NpMn2C4 (PBE)

Data for a relaxed Ce2NpMn2C4 crystal.

a = 6.824 Å, b = 6.824 Å, c = 5.834 Å
α = 109.84°, β = 109.84°, γ = 28.52°
Fractional positions:
Ce 0.131 0.131 0.022
Ce 0.869 0.869 0.978
Np 0.000 0.000 0.500
Mn 0.316 0.316 0.498
Mn 0.684 0.684 0.502
C 0.223 0.223 0.694
C 0.456 0.456 0.739
C 0.544 0.544 0.261
C 0.777 0.777 0.306

Summary:
Formation energy   -0.079 eV per atom
Total magnetization   3.9 Bohr magnetons per cell


Please write out number 1 again, unchanged.
## FeHg2Rh (PBE)

Data for a relaxed FeHg2Rh crystal.

a = 6.492 Å, b = 6.492 Å, c = 6.492 Å
α = 90.00°, β = 90.00°, γ = 90.00°
Fractional positions:
Fe 0.000 0.000 0.000
Fe 0.000 0.500 0.500
Fe 0.500 0.000 0.500
Fe 0.500 0.500 0.000
Hg 0.250 0.250 0.250
Hg 0.250 0.250 0.750
Hg 0.250 0.750 0.250
Hg 0.250 0.750 0.750
Hg 0.750 0.250 0.250
Hg 0.750 0.250 0.750
Hg 0.750 0.750 0.250
Hg 0.750 0.750 0.750
Rh 0.000 0.000 0.500
Rh 0.000 0.500 0.000
Rh 0.500 0.000 0.000
Rh 0.500 0.500 0.500

Summary:
Formation energy   0.334 eV per atom
Total magnetization   12.3 Bohr magnetons per cell
ΔE to the lowest computed polymorph   158 meV/atom